1.
# Sc2AlTlOs (PBEsol, optimized geometry)
# Final energy (eV/atom): -5.19
# Calculated formation energy (eV/atom): 1.2397
# Symmetry: P4/mmm (123)
# DOS at the Fermi energy (states/eV/atom): 0.7619
data_Sc2AlTlOs
_space_group_name_H-M_alt 'P 1'
_space_group_IT_number 1
_space_group_name_Hall 'P 1'
_cell_length_a 5.134
_cell_length_b 5.134
_cell_length_c 4.904
_cell_angle_alpha 90.00
_cell_angle_beta 90.00
_cell_angle_gamma 90.00
loop_
_atom_site_label
_atom_site_type_symbol
_atom_site_fract_x
_atom_site_fract_y
_atom_site_fract_z
Sc1 Sc 0.000 0.500 0.000
Sc2 Sc 0.500 0.000 0.000
Al1 Al 0.000 0.000 0.500
Tl1 Tl 0.500 0.500 0.000
Os1 Os 0.500 0.500 0.500

***

2.
# Al4OsSe (PBEsol, optimized geometry)
# Final energy (eV/atom): -5.02
# Symmetry: F-43m (216)
# Uncorrected formation energy (eV/atom): 0.390
# DOS at the Fermi energy (states/eV/atom): 0.7123
data_Al4OsSe
_space_group_name_H-M_alt 'P 1'
_space_group_IT_number 1
_space_group_name_Hall 'P 1'
_cell_length_a 5.095
_cell_length_b 5.095
_cell_length_c 5.095
_cell_angle_alpha 60.00
_cell_angle_beta 60.00
_cell_angle_gamma 60.00
loop_
_atom_site_label
_atom_site_type_symbol
_atom_site_fract_x
_atom_site_fract_y
_atom_site_fract_z
Al1 Al 0.125 0.125 0.125
Al2 Al 0.125 0.125 0.624
Al3 Al 0.125 0.624 0.125
Al4 Al 0.624 0.125 0.125
Os1 Os 0.500 0.500 0.500
Se1 Se 0.750 0.750 0.750

***

3.
# AlOs2Se (PBEsol, optimized geometry)
# Offset from the most stable computed form (meV/atom): 495
# Final energy (eV/atom): -7.40
# Symmetry: F-43m (216)
# Uncorrected formation energy (eV/atom): 0.696
# DOS at the Fermi energy (states/eV/atom): 1.3506
data_AlOs2Se
_space_group_name_H-M_alt 'P 1'
_space_group_IT_number 1
_space_group_name_Hall 'P 1'
_cell_length_a 4.396
_cell_length_b 4.396
_cell_length_c 4.396
_cell_angle_alpha 60.00
_cell_angle_beta 60.00
_cell_angle_gamma 60.00
loop_
_atom_site_label
_atom_site_type_symbol
_atom_site_fract_x
_atom_site_fract_y
_atom_site_fract_z
Al1 Al 0.000 0.000 0.000
Os1 Os 0.500 0.500 0.500
Os2 Os 0.750 0.750 0.750
Se1 Se 0.250 0.250 0.250

***

4.
# AlOsSe (PBEsol, optimized geometry)
# Offset from the most stable computed form (meV/atom): 0
# Final energy (eV/atom): -6.62
# Symmetry: P3m1 (156)
# Uncorrected formation energy (eV/atom): 0.100
# DOS at the Fermi energy (states/eV/atom): 0.6982
data_AlOsSe
_space_group_name_H-M_alt 'P 1'
_space_group_IT_number 1
_space_group_name_Hall 'P 1'
_cell_length_a 3.074
_cell_length_b 3.074
_cell_length_c 5.754
_cell_angle_alpha 90.00
_cell_angle_beta 90.00
_cell_angle_gamma 120.00
loop_
_atom_site_label
_atom_site_type_symbol
_atom_site_fract_x
_atom_site_fract_y
_atom_site_fract_z
Al1 Al 0.000 0.000 0.000
Os1 Os 0.333 0.667 0.683
Se1 Se 0.667 0.333 0.362

***

5.
# AlOs2Se (PBEsol, optimized geometry)
# Offset from the most stable computed form (meV/atom): 0
# Final energy (eV/atom): -7.89
# Symmetry: C2/m (12)
# Uncorrected formation energy (eV/atom): 0.201
# DOS at the Fermi energy (states/eV/atom): 0.6131
data_AlOs2Se
_space_group_name_H-M_alt 'P 1'
_space_group_IT_number 1
_space_group_name_Hall 'P 1'
_cell_length_a 4.403
_cell_length_b 4.403
_cell_length_c 4.927
_cell_angle_alpha 101.63
_cell_angle_beta 101.63
_cell_angle_gamma 38.23
loop_
_atom_site_label
_atom_site_type_symbol
_atom_site_fract_x
_atom_site_fract_y
_atom_site_fract_z
Al1 Al 0.000 0.000 0.000
Os1 Os 0.257 0.257 0.745
Os2 Os 0.743 0.743 0.255
Se1 Se 0.500 0.500 0.500

***

6.
# AlOsSe (PBEsol, optimized geometry)
# Offset from the most stable computed form (meV/atom): 96
# Final energy (eV/atom): -6.52
# Symmetry: P-6m2 (187)
# Uncorrected formation energy (eV/atom): 0.196
# DOS at the Fermi energy (states/eV/atom): 0.5302
data_AlOsSe
_space_group_name_H-M_alt 'P 1'
_space_group_IT_number 1
_space_group_name_Hall 'P 1'
_cell_length_a 4.247
_cell_length_b 4.247
_cell_length_c 2.948
_cell_angle_alpha 90.00
_cell_angle_beta 90.00
_cell_angle_gamma 120.00
loop_
_atom_site_label
_atom_site_type_symbol
_atom_site_fract_x
_atom_site_fract_y
_atom_site_fract_z
Al1 Al 0.000 0.000 0.000
Os1 Os 0.667 0.333 0.500
Se1 Se 0.333 0.667 0.500